Entry 1:
Compound: KSr2CeTe4
Source: the Alexandria database
Functional: PBE
Structure: relaxed

The structure in extended XYZ format:
```
8
Lattice="-3.796 -2.584 -1.159 3.986 -2.973 -6.424 3.974 -6.873 2.308" Properties=species:S:1:pos:R:3 pbc="T T T"
K 3.980 -4.923 -2.058
Sr 0.089 -4.728 0.574
Ce 0.095 -2.779 -3.791
Sr 3.974 -6.873 2.308
Te 2.148 -7.314 -0.404
Te -1.831 -4.972 -2.271
Te 2.016 -5.116 -4.871
Te 5.994 -7.458 -3.004
```

Calculated values
As for the space group: P2/m. As for the magnetic moment: 1.00 μB per formula unit. The raw total energy is -4.3605 eV per atom. As for the density of states at the Fermi level: 8.3 states/eV/cell.

Entry 2:
Compound: KTb2Ce
Source: the Alexandria database
Functional: PBE
Structure: relaxed

The structure in extended XYZ format:
```
4
Lattice="4.256 0.000 0.000 2.128 3.686 0.000 2.128 1.229 10.671" Properties=species:S:1:pos:R:3 pbc="T T T"
Ce 4.256 2.457 5.336
Tb 6.385 3.686 3.776
Tb 2.128 1.229 6.895
K 0.000 0.000 0.000
```

Calculated values
Its energy relative to the elements is 0.841 eV/atom. As for the space group: R-3m. As for the magnetic moment: 0.62 μB per formula unit. The raw total energy is -3.2316 eV per atom. As for the density of states at the Fermi level: 7.3 states/eV/cell.

Entry 3:
Compound: K4Tb3CeTe8
Source: the Alexandria database
Functional: PBE
Structure: relaxed

The structure in extended XYZ format:
```
16
Lattice="-6.471 -2.214 -6.006 6.159 -6.231 -4.339 -1.513 -1.049 8.914" Properties=species:S:1:pos:R:3 pbc="T T T"
Tb 2.323 -3.640 2.287
Te -3.920 -4.027 -1.189
K -0.756 -0.525 4.457
K -3.236 -1.107 -3.003
K 0.000 0.000 0.000
Te -1.814 -7.066 1.183
Te -1.116 -6.539 -3.284
Te -3.179 -3.513 -5.554
Tb -0.912 -4.747 -0.715
Te -0.011 -2.428 -2.613
K -3.992 -1.632 1.454
Ce 3.080 -3.115 -2.170
Te 2.095 -5.468 -0.242
Te -0.709 -2.956 1.853
Te 1.355 -5.982 4.123
Tb -0.156 -4.223 -5.173
```

Calculated values
As for the space group: R-3m. As for the magnetic moment: 1.02 μB per formula unit. The raw total energy is -4.4687 eV per atom. As for the density of states at the Fermi level: 8.4 states/eV/cell.

- Among the records above, which one has the highest magnetic moment?
  K4Tb3CeTe8